[1]
Entry from Alexandria via LeMat-Bulk: a geometry-optimized Ca2MgZn structure (PBEsol).

Summary:
- Relative energy among the computed polymorphs: 207 meV/atom
- Electronic total energy: -1.806 eV per atom
- DFT formation energy: 0.09 eV per atom
- SG: No. 10

Cell lengths 5.407, 3.713, 6.361 Å; angles 90.00, 112.93, 90.00 degrees
Element x y z (fractional)
Ca  0.000  0.000  0.000
Ca  0.000  0.500  0.500
Mg  0.500  0.000  0.500
Zn  0.500  0.500  0.000

[2]
Entry from Alexandria via LeMat-Bulk: a geometry-optimized Ca2Mg4Zn structure (PBEsol).

Summary:
- Relative energy among the computed polymorphs: 0 meV/atom
- Electronic total energy: -1.882 eV per atom
- DFT formation energy: -0.06 eV per atom
- SG: No. 166

Cell lengths 7.982, 7.982, 7.982 Å; angles 38.08, 38.08, 38.08 degrees
Element x y z (fractional)
Ca  0.213  0.213  0.213
Ca  0.787  0.787  0.787
Mg  0.065  0.065  0.065
Mg  0.367  0.367  0.367
Mg  0.633  0.633  0.633
Mg  0.935  0.935  0.935
Zn  0.500  0.500  0.500

[3]
Entry from Alexandria via LeMat-Bulk: a geometry-optimized CaMg2Zn structure (PBEsol).

Summary:
- Electronic total energy: -1.888 eV per atom
- DFT formation energy: -0.10 eV per atom
- SG: No. 99

Cell lengths 3.438, 3.438, 7.840 Å; angles 90.00, 90.00, 90.00 degrees
Element x y z (fractional)
Ca  0.000  0.000  0.000
Mg  0.000  0.000  0.567
Mg  0.500  0.500  0.316
Zn  0.500  0.500  0.753